[1]
MgCO3 PBE-GGA optimized geometry; formation energy without anion corrections = -132 meV per atom; ρ = 3.63 g/cm³; size of the total moment = 0.00 μB/atom
1.0
3.3774 0.0000 0.0000
0.0000 3.3774 0.0000
0.0000 0.0000 3.3774
Mg C O
1 1 3
Direct
0.0000 0.0000 0.0000 Mg
0.5000 0.5000 0.5000 C
0.0000 0.5000 0.5000 O
0.5000 0.0000 0.5000 O
0.5000 0.5000 0.0000 O



[2]
MgC3O PBE-GGA optimized geometry; formation energy without anion corrections = 3634 meV per atom; ρ = 1.83 g/cm³; size of the total moment = 0.00 μB/atom; offset from the most stable computed form = 954 meV per atom
1.0
4.1083 0.0000 0.0000
0.0000 4.1083 0.0000
0.0000 0.0000 4.1083
Mg C O
1 3 1
Direct
0.0000 0.0000 0.0000 Mg
0.0000 0.0000 0.5000 C
0.0000 0.5000 0.0000 C
0.5000 0.0000 0.0000 C
0.5000 0.5000 0.5000 O



[3]
MgCO2 PBE-GGA optimized geometry; formation energy without anion corrections = -497 meV per atom; ρ = 3.06 g/cm³; size of the total moment = 0.00 μB/atom; offset from the most stable computed form = 0 meV per atom
1.0
2.9475 0.0000 0.0000
-1.4738 2.5526 0.0000
0.0000 0.0000 14.7675
Mg C O
3 3 6
Direct
0.0000 0.0000 0.0000 Mg
0.3333 0.6667 0.6667 Mg
0.6667 0.3333 0.3333 Mg
0.0000 0.0000 0.5000 C
0.3333 0.6667 0.1667 C
0.6667 0.3333 0.8333 C
0.0000 0.0000 0.4078 O
0.0000 0.0000 0.5922 O
0.3333 0.6667 0.0744 O
0.3333 0.6667 0.2589 O
0.6667 0.3333 0.7411 O
0.6667 0.3333 0.9256 O



[4]
MgC3O PBE-GGA optimized geometry; formation energy without anion corrections = 2680 meV per atom; ρ = 2.49 g/cm³; size of the total moment = 0.00 μB/atom; offset from the most stable computed form = 0 meV per atom
1.0
3.7082 0.0000 0.0000
0.0000 3.7082 0.0000
0.0000 0.0000 3.7082
Mg C O
1 3 1
Direct
0.0000 0.0000 0.0000 Mg
0.0000 0.5000 0.5000 C
0.5000 0.0000 0.5000 C
0.5000 0.5000 0.0000 C
0.5000 0.5000 0.5000 O



[5]
MgCO2 PBE-GGA optimized geometry; formation energy without anion corrections = -117 meV per atom; ρ = 2.53 g/cm³; size of the total moment = 0.00 μB/atom; offset from the most stable computed form = 380 meV per atom
1.0
4.2875 0.0000 0.0000
0.0000 4.2875 0.0000
0.0000 0.0000 9.7467
Mg C O
4 4 8
Direct
0.0000 0.0000 0.0000 Mg
0.0000 0.5000 0.2500 Mg
0.5000 0.0000 0.7500 Mg
0.5000 0.5000 0.5000 Mg
0.0000 0.0000 0.5000 C
0.0000 0.5000 0.7500 C
0.5000 0.0000 0.2500 C
0.5000 0.5000 0.0000 C
0.2248 0.2500 0.6250 O
0.2500 0.7248 0.8750 O
0.2500 0.7752 0.3750 O
0.2752 0.2500 0.1250 O
0.7248 0.7500 0.1250 O
0.7500 0.2248 0.3750 O
0.7500 0.2752 0.8750 O
0.7752 0.7500 0.6250 O



[6]
Mg2CO6 PBE-GGA optimized geometry; formation energy without anion corrections = -599 meV per atom; ρ = 3.01 g/cm³; size of the total moment = 0.45 μB/atom
1.0
4.4335 0.0000 0.0000
0.0000 4.4335 0.0000
0.0000 0.0000 8.8032
Mg C O
4 2 12
Direct
0.0000 0.0000 0.1671 Mg
0.0000 0.0000 0.8329 Mg
0.5000 0.5000 0.3329 Mg
0.5000 0.5000 0.6671 Mg
0.0000 0.0000 0.5000 C
0.5000 0.5000 0.0000 C
0.1760 0.1760 0.3683 O
0.1760 0.1760 0.6317 O
0.2459 0.2459 0.0000 O
0.2541 0.7459 0.5000 O
0.3240 0.6760 0.1317 O
0.3240 0.6760 0.8683 O
0.6760 0.3240 0.1317 O
0.6760 0.3240 0.8683 O
0.7459 0.2541 0.5000 O
0.7541 0.7541 0.0000 O
0.8240 0.8240 0.3683 O
0.8240 0.8240 0.6317 O



[7]
MgC2O4 PBE-GGA optimized geometry; formation energy without anion corrections = -1646 meV per atom; ρ = 2.49 g/cm³; size of the total moment = 0.00 μB/atom
1.0
5.4282 0.0000 0.0000
0.0000 5.1724 0.0000
-3.0810 0.0000 5.3274
Mg C O
2 4 8
Direct
0.0000 0.0000 0.0000 Mg
0.0000 0.5000 0.5000 Mg
0.4539 0.1161 0.9082 C
0.4539 0.3839 0.4082 C
0.5461 0.6161 0.5918 C
0.5461 0.8839 0.0918 C
0.1986 0.1983 0.8172 O
0.1986 0.3017 0.3172 O
0.3610 0.7074 0.6367 O
0.3610 0.7926 0.1367 O
0.6390 0.2074 0.8633 O
0.6390 0.2926 0.3633 O
0.8014 0.6983 0.6828 O
0.8014 0.8017 0.1828 O



[8]
Mg3C2O7 PBE-GGA optimized geometry; formation energy without anion corrections = -2080 meV per atom; ρ = 2.12 g/cm³; size of the total moment = 0.00 μB/atom
1.0
-4.4727 4.4727 4.0839
4.4727 -4.4727 4.0839
4.4727 4.4727 -4.0839
Mg C O
6 4 14
Direct
0.0000 0.2831 0.2831 Mg
0.0000 0.7169 0.7169 Mg
0.2500 0.7500 0.5000 Mg
0.2831 0.0000 0.2831 Mg
0.7169 0.0000 0.7169 Mg
0.7500 0.2500 0.5000 Mg
0.0300 0.5212 0.0000 C
0.4788 0.4788 0.5088 C
0.5212 0.0300 0.0000 C
0.9700 0.9700 0.4912 C
0.0000 0.5000 0.5000 O
0.0693 0.7092 0.0000 O
0.0764 0.8994 0.4194 O
0.1006 0.5199 0.1769 O
0.2908 0.2908 0.3601 O
0.3430 0.9236 0.8231 O
0.4801 0.6570 0.5806 O
0.5000 0.0000 0.5000 O
0.5199 0.1006 0.1769 O
0.6570 0.4801 0.5806 O
0.7092 0.0693 0.0000 O
0.8994 0.0764 0.4194 O
0.9236 0.3430 0.8231 O
0.9307 0.9307 0.6399 O